Model A:
Material: In3FeW
Method: DFT, PBE
State: relaxed

magnetic moment: 0.0 μB/f.u.

Structure (POSCAR):
```
In3FeW
1.0
4.805 0.000 0.000
0.000 4.805 0.000
0.000 0.000 4.805
In Fe W
3 1 1
Cartesian
0.000 0.000 2.402
0.000 2.402 0.000
2.402 0.000 0.000
0.000 0.000 0.000
2.402 2.402 2.402
```

***

Model B:
Material: In3FeW
Method: DFT, PBE
State: relaxed

magnetic moment: 3.7 μB/f.u.

Structure (POSCAR):
```
In3FeW
1.0
5.269 0.000 0.000
0.000 5.269 0.000
0.000 0.000 5.269
In Fe W
3 1 1
Cartesian
0.000 0.000 2.634
0.000 2.634 0.000
2.634 0.000 0.000
2.634 2.634 2.634
0.000 0.000 0.000
```

***

Relative to the most stable structure, the computed energies are model A 80; model B 0, all in meV/atom.

***

Model A:
Material: In2FeW2
Method: DFT, PBE
State: relaxed

magnetic moment: 2.5 μB/f.u.

Structure (POSCAR):
```
In2FeW2
1.0
-1.893 1.893 6.923
1.893 -1.893 6.923
1.893 1.893 -6.923
In Fe W
2 1 2
Cartesian
1.893 0.000 3.461
0.000 1.893 3.461
0.000 0.000 0.000
0.000 0.000 5.741
0.000 0.000 8.104
```

***

Model B:
Material: In2FeW2
Method: DFT, PBE
State: relaxed

magnetic moment: 1.7 μB/f.u.

Structure (POSCAR):
```
In2FeW2
1.0
6.392 0.000 0.000
0.000 6.392 0.000
0.000 0.000 4.595
In Fe W
4 2 4
Cartesian
1.096 2.100 0.000
2.100 5.296 0.000
4.292 1.096 0.000
5.296 4.292 0.000
0.000 0.000 2.297
3.196 3.196 2.297
0.901 4.097 2.297
2.295 0.901 2.297
4.097 5.492 2.297
5.492 2.295 2.297
```

***

Relative to the most stable structure, the computed energies are model A 460; model B 0, all in meV/atom.

***

Model A:
Material: YInFe3
Method: DFT, PBE
State: relaxed

magnetic moment: 6.6 μB/f.u.

Structure (POSCAR):
```
YInFe3
1.0
4.764 0.000 0.000
0.000 4.764 0.000
0.000 0.000 4.764
Y In Fe
1 1 3
Cartesian
0.000 0.000 0.000
2.382 2.382 2.382
0.000 0.000 2.382
0.000 2.382 0.000
2.382 0.000 0.000
```

***

Model B:
Material: YInFe3
Method: DFT, PBE
State: relaxed

magnetic moment: 7.5 μB/f.u.

Structure (POSCAR):
```
YInFe3
1.0
4.802 0.000 0.000
0.000 4.802 0.000
0.000 0.000 4.802
Y In Fe
1 1 3
Cartesian
0.000 0.000 0.000
2.401 2.401 2.401
0.000 2.401 2.401
2.401 0.000 2.401
2.401 2.401 0.000
```

***

Relative to the most stable structure, the computed energies are model A 553; model B 0, all in meV/atom.

***

Model A:
Material: ZrInFe3
Method: DFT, PBE
State: relaxed

magnetic moment: 7.0 μB/f.u.

Structure (POSCAR):
```
ZrInFe3
1.0
4.699 0.000 0.000
0.000 4.699 0.000
0.000 0.000 4.699
Zr In Fe
1 1 3
Cartesian
0.000 0.000 0.000
2.349 2.349 2.349
0.000 2.349 2.349
2.349 0.000 2.349
2.349 2.349 0.000
```

***

Model B:
Material: ZrInFe3
Method: DFT, PBE
State: relaxed

magnetic moment: 5.8 μB/f.u.

Structure (POSCAR):
```
ZrInFe3
1.0
4.645 0.000 0.000
0.000 4.645 0.000
0.000 0.000 4.645
Zr In Fe
1 1 3
Cartesian
0.000 0.000 0.000
2.322 2.322 2.322
0.000 0.000 2.322
0.000 2.322 0.000
2.322 0.000 0.000
```

***

Relative to the most stable structure, the computed energies are model A 0; model B 43, all in meV/atom.

***

Model A:
Material: FeIr4
Method: DFT, PBE
State: relaxed

magnetic moment: 3.5 μB/f.u.

Structure (POSCAR):
```
FeIr4
1.0
-2.368 2.368 3.943
2.368 -2.368 3.943
2.368 2.368 -3.943
Fe Ir
1 4
Cartesian
0.000 0.000 0.000
2.368 0.000 1.971
0.000 0.000 2.745
0.000 0.000 5.141
0.000 2.368 1.971
```

***

Model B:
Material: FeIr4
Method: DFT, PBE
State: relaxed

magnetic moment: 3.4 μB/f.u.

Structure (POSCAR):
```
FeIr4
1.0
-1.805 1.805 6.260
1.805 -1.805 6.260
1.805 1.805 -6.260
Fe Ir
1 4
Cartesian
0.000 0.000 0.000
1.805 0.000 3.130
0.000 0.000 5.039
0.000 0.000 7.481
0.000 1.805 3.130
```

***

Relative to the most stable structure, the computed energies are model A 346; model B 0, all in meV/atom.

***

Model A:
Material: Fe4Ir5
Method: DFT, PBE
State: relaxed

magnetic moment: 10.6 μB/f.u.

Structure (POSCAR):
```
Fe4Ir5
1.0
7.341 0.000 0.000
-3.670 6.357 0.000
0.000 0.000 5.241
Fe Ir
8 10
Cartesian
0.000 0.000 0.000
0.000 0.000 2.620
-1.220 2.114 1.310
-2.450 4.244 3.931
2.441 0.000 1.310
1.220 2.114 3.931
4.900 0.000 3.931
2.450 4.244 1.310
-1.207 2.091 3.931
-2.463 4.266 1.310
2.415 0.000 3.931
1.207 2.091 1.310
0.000 4.238 0.000
0.000 4.238 2.620
3.670 2.119 0.000
3.670 2.119 2.620
4.926 0.000 1.310
2.463 4.266 3.931
```

***

Model B:
Material: Fe4Ir5
Method: DFT, PBE
State: relaxed

magnetic moment: 10.7 μB/f.u.

Structure (POSCAR):
```
Fe4Ir5
1.0
-4.001 4.001 1.907
4.001 -4.001 1.907
4.001 4.001 -1.907
Fe Ir
4 5
Cartesian
2.670 0.000 0.000
5.332 0.000 0.000
0.000 2.670 0.000
0.000 5.332 0.000
0.000 0.000 0.000
2.658 2.658 0.000
1.342 -1.342 1.907
-1.342 1.342 1.907
1.342 1.342 1.907
```

***

Relative to the most stable structure, the computed energies are model A 94; model B 0, all in meV/atom.

***

Model A:
Material: Fe3Ir4
Method: DFT, PBE
State: relaxed

magnetic moment: 7.2 μB/f.u.

Structure (POSCAR):
```
Fe3Ir4
1.0
-1.360 1.360 12.693
1.360 -1.360 12.693
1.360 1.360 -12.693
Fe Ir
3 4
Cartesian
0.000 0.000 0.000
0.000 0.000 7.174
0.000 0.000 18.213
0.000 0.000 3.751
0.000 0.000 10.898
0.000 0.000 14.489
0.000 0.000 21.635
```

***

Model B:
Material: Fe3Ir4
Method: DFT, PBE
State: relaxed

magnetic moment: 6.0 μB/f.u.

Structure (POSCAR):
```
Fe3Ir4
1.0
4.633 0.000 0.000
-2.317 4.013 0.000
0.000 0.000 5.017
Fe Ir
3 4
Cartesian
-1.158 2.006 0.000
2.317 0.000 0.000
1.158 2.006 0.000
0.000 0.000 1.273
0.000 0.000 3.743
0.000 2.675 2.508
2.317 1.338 2.508
```

***

Relative to the most stable structure, the computed energies are model A 0; model B 154, all in meV/atom.

***

Model A:
Material: Fe5Ir4
Method: DFT, PBE
State: relaxed

magnetic moment: 12.2 μB/f.u.

Structure (POSCAR):
```
Fe5Ir4
1.0
-3.979 3.979 1.867
3.979 -3.979 1.867
3.979 3.979 -1.867
Fe Ir
5 4
Cartesian
0.000 0.000 0.000
2.643 0.000 0.000
5.314 0.000 0.000
0.000 2.643 0.000
0.000 5.314 0.000
2.659 2.659 0.000
1.319 -1.319 1.867
-1.319 1.319 1.867
1.319 1.319 1.867
```

***

Model B:
Material: Fe5Ir4
Method: DFT, PBE
State: relaxed

magnetic moment: 12.4 μB/f.u.

Structure (POSCAR):
```
Fe5Ir4
1.0
7.287 0.000 0.000
-3.643 6.311 0.000
0.000 0.000 5.191
Fe Ir
10 8
Cartesian
-1.213 2.101 1.298
-2.431 4.210 3.893
2.426 0.000 1.298
1.213 2.101 3.893
0.000 4.207 0.000
0.000 4.207 2.596
4.861 0.000 3.893
3.643 2.104 0.000
3.643 2.104 2.596
2.431 4.210 1.298
0.000 0.000 0.000
0.000 0.000 2.596
-1.236 2.140 3.893
-2.408 4.170 1.298
2.471 0.000 3.893
1.236 2.140 1.298
4.816 0.000 1.298
2.408 4.170 3.893
```

***

Relative to the most stable structure, the computed energies are model A 0; model B 136, all in meV/atom.